The following is a DFT calculation (PBE) of MoIr2Ru after structural relaxation.

a b c (Å): 4.391 4.773 11.142
angles (deg): 90.00 90.00 90.00
Atoms (fractional coordinates):
Ir 0.750 0.416 0.812
Ir 0.750 0.913 0.938
Ir 0.250 0.587 0.438
Ir 0.250 0.084 0.312
Ir 0.250 0.584 0.188
Ir 0.250 0.087 0.062
Ir 0.750 0.916 0.688
Ir 0.750 0.413 0.562
Ru 0.750 0.917 0.440
Ru 0.250 0.083 0.560
Ru 0.250 0.583 0.940
Ru 0.750 0.417 0.060
Mo 0.250 0.077 0.815
Mo 0.750 0.923 0.185
Mo 0.250 0.577 0.685
Mo 0.750 0.423 0.315

Output
- space group = No. 62
- mass density (g cm⁻³) = 16.538
- size of the total moment (μB/atom) = 0.000
- total energy (eV/cell) = -154.84